(1)
Below is a relaxed Zn2GeF8 crystal, with properties calculated at the PBE level.

Lattice parameters (Å, degrees): 4.3395 5.6496 5.6496 73.54 90.68 90.68
Last column: nearest neighbours and their distance in Å.
Positions (direct):
F (0.2578, 0.4005, 0.4005)  3 Zn 2.01-2.21
F (0.7793, 0.0942, 0.7114)  1 Ge 1.83
F (0.7372, 0.1581, 0.1581)  1 Ge 1.84, 1 Zn 1.98
F (0.2207, 0.9058, 0.2886)  1 Ge 1.83
F (0.7422, 0.5995, 0.5995)  3 Zn 2.01-2.21
F (0.2628, 0.8419, 0.8419)  1 Ge 1.84, 1 Zn 1.98
F (0.2207, 0.2886, 0.9058)  1 Ge 1.83
F (0.7793, 0.7114, 0.0942)  1 Ge 1.83
Zn (0.2504, 0.6228, 0.6228)  6 F 1.98-2.21
Zn (0.7496, 0.3772, 0.3772)  6 F 1.98-2.21
Ge (0.0000, 0.0000, 0.0000)  6 F 1.83-1.84

Calculated values
As for the space-group type: No. 12. The value obtained for the final energy is -4.318 eV per atom. For the energy relative to the elements, uncorrected, the calculation gives -2.306 eV per atom.

---

(2)
Below is a relaxed Ti3I4Br2 crystal, with properties calculated at the PBE level.

Lattice parameters (Å, degrees): 3.6709 3.6709 25.6511 90.00 90.00 120.00
Last column: nearest neighbours and their distance in Å.
Positions (direct):
Ti (0.6667, 0.3333, 0.0000)  6 Br 2.68
Ti (0.0000, 0.0000, 0.7080)  6 I 2.80
Ti (0.0000, 0.0000, 0.2920)  6 I 2.80
Br (0.0000, 0.0000, 0.9361)  3 Ti 2.68
Br (0.0000, 0.0000, 0.0639)  3 Ti 2.68
I (0.6667, 0.3333, 0.3634)  3 Ti 2.80
I (0.6667, 0.3333, 0.7793)  3 Ti 2.80
I (0.6667, 0.3333, 0.6366)  3 Ti 2.80
I (0.6667, 0.3333, 0.2207)  3 Ti 2.80

Calculated values
As for the space-group type: No. 187. The value obtained for the final energy is -4.467 eV per atom. For the energy relative to the elements, uncorrected, the calculation gives -0.774 eV per atom.

---

(3)
Below is a relaxed KB2Rh crystal, with properties calculated at the PBE level.

Lattice parameters (Å, degrees): 4.2685 4.2685 4.2685 60.00 60.00 60.00
Last column: nearest neighbours and their distance in Å.
Positions (direct):
Rh (0.5000, 0.5000, 0.5000)  8 B 2.61
K (0.0000, 0.0000, 0.0000)  8 B 2.61
B (0.7500, 0.7500, 0.7500)  4 Rh 2.61, 4 K 2.61
B (0.2500, 0.2500, 0.2500)  4 K 2.61, 4 Rh 2.61

Calculated values
As for the space-group type: No. 225. The value obtained for the final energy is -3.834 eV per atom. Its energy relative to the elements is 1617 meV per atom.

---

(4)
Below is a relaxed RbGaO2 crystal, with properties calculated at the PBE level.

Lattice parameters (Å, degrees): 3.5144 3.5144 5.2173 90.00 90.00 90.00
Last column: nearest neighbours and their distance in Å.
Positions (direct):
Rb (0.5000, 0.5000, 0.0000)  6 O 2.49-2.61
O (0.5000, 0.5000, 0.5000)  4 Ga 2.49, 2 Rb 2.61
O (0.0000, 0.0000, 0.0000)  4 Rb 2.49, 2 Ga 2.61
Ga (0.0000, 0.0000, 0.5000)  6 O 2.49-2.61

Calculated values
As for the space-group type: No. 123. The value obtained for the final energy is -3.892 eV per atom. For the energy relative to the elements, uncorrected, the calculation gives -0.414 eV per atom.

---

(5)
Below is a relaxed MnTl2Rh crystal, with properties calculated at the PBE level.

Lattice parameters (Å, degrees): 3.6658 4.3425 5.7497 66.67 90.00 90.00
Last column: nearest neighbours and their distance in Å.
Positions (direct):
Tl (0.5000, 0.2704, 0.3416)  4 Mn 2.91-2.92, 3 Rh 2.95-3.20
Tl (0.0000, 0.9785, 0.9099)  4 Rh 2.92, 3 Mn 2.93-3.21
Rh (0.5000, 0.5437, 0.7839)  2 Mn 2.49
Mn (0.0000, 0.7073, 0.4646)  2 Rh 2.49

Calculated values
As for the space-group type: No. 6. The value obtained for the final energy is -5.047 eV per atom. Its energy relative to the elements is 266 meV per atom.

---

(6)
Below is a relaxed CsAcCu2I6 crystal, with properties calculated at the PBE level.

Lattice parameters (Å, degrees): 9.7434 9.7434 10.5739 99.98 99.98 107.16
Last column: nearest neighbours and their distance in Å.
Positions (direct):
I (0.2155, 0.1989, 0.5931)  1 Cu 2.49
I (0.7845, 0.8011, 0.4069)  1 Cu 2.49
I (0.0902, 0.5388, 0.7336)  1 Cu 2.54
I (0.1989, 0.2155, 0.0931)  1 Cu 2.49
I (0.6443, 0.4038, 0.5684)  1 Cu 2.57
I (0.3557, 0.5962, 0.4316)  1 Cu 2.57
I (0.9098, 0.4612, 0.2664)  1 Cu 2.54
I (0.5388, 0.0902, 0.2336)  1 Cu 2.54
I (0.8011, 0.7845, 0.9069)  1 Cu 2.49
I (0.4612, 0.9098, 0.7664)  1 Cu 2.54
I (0.4038, 0.6443, 0.0684)  1 Cu 2.57
I (0.5962, 0.3557, 0.9316)  1 Cu 2.57
Cu (0.6038, 0.8581, 0.2452)  3 I 2.49-2.57
Cu (0.1419, 0.3962, 0.2548)  3 I 2.49-2.57
Cu (0.8581, 0.6038, 0.7452)  3 I 2.49-2.57
Cu (0.3962, 0.1419, 0.7548)  3 I 2.49-2.57
Cs (0.1379, 0.8621, 0.2500)  8 I 3.93-4.30
Cs (0.8621, 0.1379, 0.7500)  8 I 3.93-4.30
Ac (0.4434, 0.5566, 0.7500)  8 I 3.37-3.46
Ac (0.5566, 0.4434, 0.2500)  8 I 3.37-3.46

Calculated values
As for the space-group type: No. 15. The value obtained for the final energy is -3.194 eV per atom. For the energy relative to the elements, uncorrected, the calculation gives -0.948 eV per atom.

---

(7)
Below is a relaxed Li2PbBr4 crystal, with properties calculated at the PBE level.

Lattice parameters (Å, degrees): 8.3370 8.3370 8.5409 102.21 102.21 124.51
Last column: nearest neighbours and their distance in Å.
Positions (direct):
Br (0.5622, 0.8044, 0.8519)  2 Li 2.55-2.62
Br (0.9603, 0.7025, 0.6481)  2 Li 2.55-2.62
Br (0.0270, 0.3584, 0.8693)  2 Li 2.61-2.67
Br (0.6084, 0.7770, 0.3693)  2 Li 2.61-2.67
Br (0.4891, 0.1578, 0.1307)  2 Li 2.61-2.67
Br (0.9525, 0.7103, 0.1481)  2 Li 2.55-2.62
Br (0.4078, 0.2391, 0.6307)  2 Li 2.61-2.67
Br (0.0544, 0.3122, 0.3519)  2 Li 2.55-2.62
Li (0.8045, 0.2122, 0.0516)  4 Br 2.55-2.67
Li (0.1606, 0.7529, 0.9484)  4 Br 2.55-2.67
Li (0.0029, 0.9106, 0.4484)  4 Br 2.55-2.67
Li (0.4622, 0.5545, 0.5516)  4 Br 2.55-2.67
Pb (0.7475, 0.2475, 0.5000)  6 Br 2.92-3.23
Pb (0.4975, 0.4975, 0.0000)  6 Br 2.92-3.23

Calculated values
As for the space-group type: No. 43. The value obtained for the final energy is -3.276 eV per atom. For the energy relative to the elements, uncorrected, the calculation gives -1.244 eV per atom.

---

(8)
Below is a relaxed NaLi2Ta crystal, with properties calculated at the PBE level.

Lattice parameters (Å, degrees): 4.7611 4.7611 4.7611 60.00 60.00 60.00
Last column: nearest neighbours and their distance in Å.
Positions (direct):
Ta (0.5000, 0.5000, 0.5000)  8 Li 2.92
Li (0.2500, 0.2500, 0.2500)  4 Ta 2.92, 4 Na 2.92
Li (0.7500, 0.7500, 0.7500)  4 Ta 2.92, 4 Na 2.92
Na (0.0000, 0.0000, 0.0000)  8 Li 2.92

Calculated values
As for the space-group type: No. 225. The value obtained for the final energy is -3.200 eV per atom. Its energy relative to the elements is 1050 meV per atom.

---

- Look up the final energy of the fourth one.
  -3.892 eV per atom

---

- Which value of final energy does entry 2 give?
  -4.467 eV per atom

---

- What is the formula in the third record?
  KB2Rh